The following is a DFT calculation (PBE-GGA) of a relaxed PuGaOs crystal.

The calculation puts the final energy at -8.788 eV/atom. Its magnetization is 17.94 μB/cell.

The space group is F-43m (No. 216) and the conventional cell measures 6.325, 6.325 and 6.325 Å, with angles of 90.00, 90.00 and 90.00 degrees. The inequivalent atoms are Pu at (0.000, 0.000, 0.000), Ga at (0.250, 0.250, 0.250) and Os at (0.250, 0.250, 0.750).